(1)
Computed, not measured: a relaxed structure of Li5Sc2Fe3Si10O30 at the GGA+U level of DFT.

Results
As for the total energy: -741.14 eV for the cell shown. The symmetry is C2, No. 5. The value obtained for the total magnetization is 18.11 μB/cell.

Cell: 22.7600 22.7600 5.3738 Å, 94.39 94.39 154.98°
With the nearest neighbours (Å) after each atom.
Element x y z (fractional)
1 Li 0.0000 0.0000 0.0000  4 O 2.07-2.16
2 Li 0.1011 0.8989 0.5000  4 O 2.06-2.11
3 Li 0.2002 0.7998 0.0000  4 O 2.10-2.11
4 Li 0.3027 0.6973 0.5000  4 O 2.05-2.15
5 Li 0.4018 0.5982 0.0000  4 O 2.07-2.16
6 Li 0.5019 0.4981 0.5000  4 O 2.05-2.12
7 Li 0.5997 0.4003 0.0000  4 O 2.10-2.14
8 Li 0.7004 0.2996 0.5000  4 O 2.03-2.13
9 Li 0.8017 0.1983 0.0000  4 O 2.08-2.13
10 Li 0.9035 0.0965 0.5000  4 O 2.07-2.19
11 Sc 0.0713 0.9287 0.0000  4 O 2.01-2.11
12 Sc 0.2726 0.7274 0.0000  4 O 2.00-2.11
13 Sc 0.6714 0.3286 0.0000  6 O 2.02-2.23
14 Sc 0.8733 0.1267 0.0000  6 O 2.01-2.24
15 Fe 0.0303 0.9697 0.5000  4 O 1.94-2.05
16 Fe 0.2311 0.7689 0.5000  4 O 1.96-1.99
17 Fe 0.4322 0.5678 0.5000  6 O 1.95-2.18
18 Fe 0.4710 0.5290 0.0000  6 O 1.93-2.08
19 Fe 0.6293 0.3707 0.5000  4 O 1.94-2.04
20 Fe 0.8310 0.1690 0.5000  4 O 1.95-2.04
21 Si 0.1322 0.4620 0.0212  4 O 1.61-1.65
22 Si 0.1425 0.2715 0.9828  4 O 1.61-1.66
23 Si 0.1682 0.4271 0.5245  4 O 1.62-1.65
24 Si 0.1768 0.2361 0.4862  4 O 1.61-1.66
25 Si 0.3323 0.2681 0.0176  4 O 1.62-1.66
26 Si 0.3359 0.0685 0.9791  4 O 1.61-1.66
27 Si 0.3673 0.2314 0.5221  4 O 1.62-1.65
28 Si 0.3707 0.0319 0.4751  4 O 1.62-1.66
29 Si 0.5306 0.0628 0.0096  4 O 1.61-1.67
30 Si 0.5380 0.8678 0.9788  4 O 1.61-1.65
31 Si 0.5671 0.0277 0.5175  4 O 1.62-1.65
32 Si 0.5729 0.8318 0.4755  4 O 1.62-1.65
33 Si 0.7285 0.8575 0.0172  4 O 1.61-1.66
34 Si 0.7319 0.6677 0.9824  4 O 1.62-1.66
35 Si 0.7639 0.8232 0.5138  4 O 1.61-1.66
36 Si 0.7686 0.6327 0.4779  4 O 1.62-1.65
37 Si 0.9315 0.6641 0.0209  4 O 1.61-1.66
38 Si 0.9372 0.4694 0.9904  4 O 1.61-1.67
39 Si 0.9681 0.6293 0.5249  4 O 1.62-1.66
40 Si 0.9723 0.4329 0.4825  4 O 1.62-1.65
41 O 0.0047 0.6995 0.3024  2 Si 1.65
42 O 0.0076 0.7063 0.8072  2 Si 1.64-1.65
43 O 0.0384 0.2338 0.9225  1 Si 1.61
44 O 0.0732 0.6682 0.5959  1 Si 1.62
45 O 0.0989 0.1932 0.6953  2 Si 1.64
46 O 0.1032 0.1977 0.1981  2 Si 1.64-1.65
47 O 0.1185 0.6507 0.1193  1 Si 1.67
48 O 0.1355 0.1292 0.4173  1 Si 1.61
49 O 0.1506 0.6120 0.5895  1 Si 1.65
50 O 0.1532 0.0876 0.8972  1 Si 1.66
51 O 0.1716 0.5674 0.0846  1 Si 1.61
52 O 0.1875 0.0524 0.4104  1 Si 1.65
53 O 0.2045 0.4993 0.3091  2 Si 1.64
54 O 0.2100 0.5035 0.8135  2 Si 1.64-1.65
55 O 0.2301 0.0284 0.9086  1 Si 1.61
56 O 0.2741 0.4667 0.5809  1 Si 1.62
57 O 0.2937 0.9924 0.1928  2 Si 1.64-1.65
58 O 0.3005 0.9953 0.6976  2 Si 1.65
59 O 0.3234 0.4509 0.0994  1 Si 1.66
60 O 0.3318 0.9268 0.4041  1 Si 1.62
61 O 0.3493 0.8815 0.8807  1 Si 1.67
62 O 0.3554 0.4171 0.6096  1 Si 1.66
63 O 0.3739 0.3755 0.0878  1 Si 1.62
64 O 0.3880 0.8494 0.4105  1 Si 1.65
65 O 0.4034 0.3030 0.3043  2 Si 1.65
66 O 0.4086 0.3084 0.8082  2 Si 1.64
67 O 0.4326 0.8284 0.9154  1 Si 1.61
68 O 0.4734 0.2712 0.5853  1 Si 1.62
69 O 0.4965 0.7900 0.1865  2 Si 1.64-1.65
70 O 0.5007 0.7955 0.6909  2 Si 1.64
71 O 0.5152 0.2481 0.1034  1 Si 1.66
72 O 0.5333 0.7259 0.4191  1 Si 1.62
73 O 0.5484 0.2131 0.5889  1 Si 1.66
74 O 0.5491 0.6766 0.9006  1 Si 1.66
75 O 0.5708 0.1683 0.0880  1 Si 1.61
76 O 0.5829 0.6446 0.3904  1 Si 1.66
77 O 0.5998 0.0928 0.2874  2 Si 1.64-1.65
78 O 0.6080 0.1068 0.7971  2 Si 1.64
79 O 0.6245 0.6261 0.9122  1 Si 1.62
80 O 0.6751 0.0698 0.5879  1 Si 1.62
81 O 0.6916 0.5914 0.1918  2 Si 1.64
82 O 0.6970 0.5966 0.6957  2 Si 1.65
83 O 0.7172 0.0471 0.1042  1 Si 1.65
84 O 0.7288 0.5266 0.4147  1 Si 1.62
85 O 0.7509 0.0121 0.5881  1 Si 1.65
86 O 0.7519 0.4848 0.8966  1 Si 1.66
87 O 0.7662 0.9616 0.0775  1 Si 1.61
88 O 0.7869 0.4516 0.4111  1 Si 1.66
89 O 0.8023 0.8968 0.8019  2 Si 1.64-1.65
90 O 0.8068 0.9011 0.3047  2 Si 1.64
91 O 0.8317 0.4292 0.9120  1 Si 1.61
92 O 0.8708 0.8645 0.5827  1 Si 1.61
93 O 0.8932 0.3920 0.2029  2 Si 1.64
94 O 0.9072 0.4002 0.7126  2 Si 1.64-1.65
95 O 0.9124 0.8468 0.1028  1 Si 1.66
96 O 0.9302 0.3249 0.4121  1 Si 1.62
97 O 0.9476 0.8125 0.5896  1 Si 1.65
98 O 0.9529 0.2828 0.8958  1 Si 1.65
99 O 0.9716 0.7699 0.0914  1 Si 1.61
100 O 0.9879 0.2491 0.4119  1 Si 1.65

***

(2)
Computed, not measured: a relaxed structure of Li4ScFe3Si8O24 at the GGA+U level of DFT.

Results
As for the total energy: -294.25 eV for the cell shown. The symmetry is P2, No. 3. The value obtained for the total magnetization is 14.92 μB/cell.

Cell: 5.3746 8.8576 9.4236 Å, 90.00 101.74 90.00°
With the nearest neighbours (Å) after each atom.
Element x y z (fractional)
1 Li 0.0000 0.0000 0.0000  4 O 2.07-2.17
2 Li 0.0000 0.0066 0.5000  4 O 2.07-2.16
3 Li 0.5000 0.5034 0.5000  4 O 2.05-2.15
4 Li 0.5000 0.5123 0.0000  4 O 2.09-2.16
5 Sc 0.5000 0.1521 0.0000  6 O 2.01-2.24
6 Fe 0.0000 0.3600 0.0000  4 O 1.94-2.05
7 Fe 0.0000 0.6518 0.5000  6 O 1.94-2.17
8 Fe 0.5000 0.8578 0.5000  4 O 1.95-2.05
9 Si 0.2207 0.3452 0.7019  4 O 1.62-1.65
10 Si 0.2230 0.6636 0.2041  4 O 1.62-1.66
11 Si 0.2755 0.1666 0.2982  4 O 1.62-1.65
12 Si 0.2760 0.8397 0.7949  4 O 1.61-1.66
13 Si 0.7240 0.8397 0.2051  4 O 1.61-1.66
14 Si 0.7245 0.1666 0.7018  4 O 1.62-1.65
15 Si 0.7770 0.6636 0.7959  4 O 1.62-1.66
16 Si 0.7793 0.3452 0.2981  4 O 1.62-1.65
17 O 0.0475 0.2549 0.3574  2 Si 1.64
18 O 0.0483 0.7507 0.8536  2 Si 1.64
19 O 0.2078 0.1701 0.1191  1 Si 1.65
20 O 0.2127 0.5106 0.6283  1 Si 1.62
21 O 0.2152 0.4977 0.1313  1 Si 1.62
22 O 0.2165 0.8368 0.6154  1 Si 1.66
23 O 0.2779 0.3440 0.8811  1 Si 1.65
24 O 0.2835 0.6700 0.3835  1 Si 1.66
25 O 0.2844 0.0056 0.8663  1 Si 1.61
26 O 0.2886 0.0003 0.3712  1 Si 1.62
27 O 0.4530 0.7518 0.1465  2 Si 1.64-1.65
28 O 0.4536 0.2561 0.6474  2 Si 1.65
29 O 0.5464 0.2561 0.3526  2 Si 1.65
30 O 0.5470 0.7518 0.8535  2 Si 1.64-1.65
31 O 0.7114 0.0003 0.6288  1 Si 1.62
32 O 0.7156 0.0056 0.1337  1 Si 1.61
33 O 0.7165 0.6700 0.6165  1 Si 1.66
34 O 0.7221 0.3440 0.1189  1 Si 1.65
35 O 0.7835 0.8368 0.3846  1 Si 1.66
36 O 0.7848 0.4977 0.8687  1 Si 1.62
37 O 0.7873 0.5106 0.3717  1 Si 1.62
38 O 0.7922 0.1701 0.8809  1 Si 1.65
39 O 0.9517 0.7507 0.1464  2 Si 1.64
40 O 0.9525 0.2549 0.6426  2 Si 1.64

***

(3)
Computed, not measured: a relaxed structure of Li8ScFe7Si16O48 at the GGA+U level of DFT.

Results
As for the total energy: -578.09 eV for the cell shown. The symmetry is P1, No. 1. The value obtained for the total magnetization is 14.92 μB/cell.

Cell: 7.2982 9.4820 13.2524 Å, 103.01 95.65 101.87°
With the nearest neighbours (Å) after each atom.
Element x y z (fractional)
1 Li 0.0000 0.0000 0.0000  4 O 2.02-2.20
2 Li 0.9999 0.0005 0.5021  4 O 2.04-2.22
3 Li 0.4832 0.4893 0.4980  4 O 2.07-2.24
4 Li 0.4860 0.0057 0.7564  4 O 2.08-2.20
5 Li 0.4884 0.4925 0.0009  4 O 2.04-2.21
6 Li 0.4959 0.0035 0.2559  4 O 2.06-2.23
7 Li 0.9828 0.4974 0.2515  4 O 2.06-2.19
8 Li 0.9855 0.5010 0.7569  4 O 2.03-2.16
9 Sc 0.6654 0.8224 0.5754  5 O 2.00-2.23
10 Fe 0.1636 0.3246 0.0792  6 O 1.93-2.10
11 Fe 0.1639 0.3283 0.5768  5 O 1.92-2.03
12 Fe 0.3125 0.6747 0.6799  4 O 1.93-2.07
13 Fe 0.3142 0.6730 0.1782  4 O 1.95-2.04
14 Fe 0.6666 0.8214 0.0755  4 O 1.93-2.06
15 Fe 0.8164 0.1773 0.6808  5 O 1.94-2.15
16 Fe 0.8175 0.1678 0.1760  5 O 1.94-2.06
17 Si 0.0682 0.9383 0.2290  4 O 1.62-1.67
18 Si 0.0682 0.9415 0.7334  4 O 1.62-1.65
19 Si 0.2263 0.2767 0.3180  4 O 1.61-1.67
20 Si 0.2274 0.2796 0.8256  4 O 1.62-1.65
21 Si 0.2465 0.7183 0.4343  4 O 1.62-1.65
22 Si 0.2548 0.7218 0.9354  4 O 1.62-1.65
23 Si 0.4114 0.0628 0.5244  4 O 1.62-1.65
24 Si 0.4178 0.0650 0.0257  4 O 1.61-1.67
25 Si 0.5633 0.4380 0.7321  4 O 1.61-1.67
26 Si 0.5661 0.4315 0.2276  4 O 1.62-1.66
27 Si 0.7262 0.7799 0.8219  4 O 1.61-1.65
28 Si 0.7299 0.7748 0.3158  4 O 1.61-1.66
29 Si 0.7556 0.2149 0.4334  4 O 1.61-1.67
30 Si 0.7596 0.2204 0.9340  4 O 1.62-1.65
31 Si 0.9123 0.5520 0.5219  4 O 1.61-1.67
32 Si 0.9169 0.5582 0.0228  4 O 1.62-1.66
33 O 0.0292 0.6465 0.4494  2 Si 1.64
34 O 0.0370 0.6530 0.9515  2 Si 1.64
35 O 0.0662 0.5170 0.6094  1 Si 1.67
36 O 0.0673 0.5207 0.1099  1 Si 1.66
37 O 0.0772 0.3097 0.7360  1 Si 1.65
38 O 0.0794 0.3048 0.2231  1 Si 1.67
39 O 0.1967 0.0965 0.3037  2 Si 1.64
40 O 0.2028 0.0986 0.8077  2 Si 1.64-1.65
41 O 0.2103 0.3587 0.4358  1 Si 1.61
42 O 0.2143 0.8491 0.6833  1 Si 1.62
43 O 0.2178 0.8498 0.1786  1 Si 1.62
44 O 0.2187 0.3590 0.9460  1 Si 1.62
45 O 0.2574 0.1514 0.5701  1 Si 1.62
46 O 0.2619 0.1492 0.0726  1 Si 1.61
47 O 0.2650 0.6417 0.8151  1 Si 1.62
48 O 0.2648 0.6430 0.3144  1 Si 1.62
49 O 0.2787 0.9005 0.4544  2 Si 1.65
50 O 0.2908 0.9031 0.9526  2 Si 1.64-1.65
51 O 0.3916 0.6851 0.5252  1 Si 1.65
52 O 0.4019 0.6894 0.0259  1 Si 1.65
53 O 0.4096 0.4702 0.6431  1 Si 1.67
54 O 0.4121 0.4668 0.1411  1 Si 1.66
55 O 0.4436 0.3513 0.8074  2 Si 1.64-1.65
56 O 0.4448 0.3439 0.3018  2 Si 1.64-1.65
57 O 0.5366 0.1463 0.4494  2 Si 1.64-1.65
58 O 0.5431 0.1538 0.9536  2 Si 1.64-1.65
59 O 0.5615 0.0304 0.6132  1 Si 1.65
60 O 0.5695 0.0286 0.1135  1 Si 1.67
61 O 0.5760 0.8083 0.7311  1 Si 1.65
62 O 0.5802 0.8051 0.2252  1 Si 1.66
63 O 0.6931 0.5989 0.8039  2 Si 1.64
64 O 0.6955 0.5934 0.2987  2 Si 1.65
65 O 0.7131 0.8586 0.9416  1 Si 1.61
66 O 0.7157 0.3515 0.6837  1 Si 1.61
67 O 0.7158 0.8541 0.4351  1 Si 1.61
68 O 0.7231 0.3459 0.1818  1 Si 1.62
69 O 0.7643 0.6399 0.5739  1 Si 1.61
70 O 0.7651 0.1369 0.8140  1 Si 1.62
71 O 0.7656 0.6457 0.0724  1 Si 1.62
72 O 0.7725 0.1332 0.3158  1 Si 1.61
73 O 0.7833 0.3947 0.4472  2 Si 1.63-1.64
74 O 0.7902 0.4001 0.9468  2 Si 1.64
75 O 0.9041 0.1913 0.5288  1 Si 1.67
76 O 0.9122 0.1916 0.0234  1 Si 1.65
77 O 0.9154 0.9762 0.1427  1 Si 1.67
78 O 0.9217 0.9787 0.6456  1 Si 1.65
79 O 0.9437 0.8513 0.8059  2 Si 1.64-1.65
80 O 0.9471 0.8423 0.2989  2 Si 1.64